# BeZnSe2 PBE relaxed
data_BeZnSe2
_cell_length_a 5.183
_cell_length_b 5.183
_cell_length_c 10.288
_cell_angle_alpha 90.00
_cell_angle_beta 90.00
_cell_angle_gamma 90.00
_space_group_name_H-M_alt 'I 41/a m d'
_space_group_IT_number 141
loop_
_space_group_symop_operation_xyz
'x,y,z'
'-x,-y,-z'
'-y+1/4,x+3/4,z+1/4'
'y+1/4,-x+3/4,-z+1/4'
'-x+1/2,-y,z+1/2'
'x+1/2,y,-z+1/2'
'y+1/4,-x+1/4,z+3/4'
'-y+1/4,x+1/4,-z+3/4'
'x,-y,-z'
'-x,y,z'
'-y+1/4,-x+1/4,-z+3/4'
'y+1/4,x+1/4,z+3/4'
'-x+1/2,y,-z+1/2'
'x+1/2,-y,z+1/2'
'y+1/4,x+3/4,-z+1/4'
'-y+1/4,-x+3/4,z+1/4'
'x+1/2,y+1/2,z+1/2'
'-x+1/2,-y+1/2,-z+1/2'
'-y+3/4,x+1/4,z+3/4'
'y+3/4,-x+1/4,-z+3/4'
'-x,-y+1/2,z'
'x,y+1/2,-z'
'y+3/4,-x+3/4,z+1/4'
'-y+3/4,x+3/4,-z+1/4'
'x+1/2,-y+1/2,-z+1/2'
'-x+1/2,y+1/2,z+1/2'
'-y+3/4,-x+3/4,-z+1/4'
'y+3/4,x+3/4,z+1/4'
'-x,y+1/2,-z'
'x,-y+1/2,z'
'y+3/4,x+1/4,-z+3/4'
'-y+3/4,-x+1/4,z+3/4'
loop_
_atom_site_label
_atom_site_type_symbol
_atom_site_fract_x
_atom_site_fract_y
_atom_site_fract_z
_atom_site_occupancy
Be1 Be 0.000 0.250 0.375 1
Zn1 Zn 0.000 0.250 0.875 1
Se1 Se 0.000 0.250 0.144 1
# Relative energy among the computed polymorphs ... 0.439 eV per atom
# ΔE_f (raw) ... -307 meV per atom
# Final energy ... -52.784 eV per cell

# KRb3Se PBE relaxed
data_KRb3Se
_cell_length_a 6.839
_cell_length_b 6.839
_cell_length_c 6.839
_cell_angle_alpha 90.00
_cell_angle_beta 90.00
_cell_angle_gamma 90.00
_space_group_name_H-M_alt 'P m -3 m'
_space_group_IT_number 221
_space_group_name_Hall '-P 4 2 3'
loop_
_atom_site_label
_atom_site_type_symbol
_atom_site_fract_x
_atom_site_fract_y
_atom_site_fract_z
_atom_site_occupancy
K1 K 0.000 0.000 0.000 1
Rb1 Rb 0.000 0.500 0.500 1
Se1 Se 0.500 0.500 0.500 1
# Relative energy among the computed polymorphs ... 0.000 eV per atom
# ΔE_f (raw) ... -544 meV per atom
# Final energy ... -10.204 eV per cell

# DyHfPdPt PBE relaxed
data_DyHfPdPt
_cell_length_a 6.809
_cell_length_b 6.809
_cell_length_c 6.809
_cell_angle_alpha 90.00
_cell_angle_beta 90.00
_cell_angle_gamma 90.00
_space_group_name_H-M_alt 'F -4 3 m'
_space_group_IT_number 216
_space_group_name_Hall 'F -4 2 3'
loop_
_atom_site_label
_atom_site_type_symbol
_atom_site_fract_x
_atom_site_fract_y
_atom_site_fract_z
_atom_site_occupancy
Dy1 Dy 0.000 0.000 0.000 1
Hf1 Hf 0.000 0.000 0.500 1
Pd1 Pd 0.250 0.250 0.250 1
Pt1 Pt 0.250 0.250 0.750 1
# Formation energy ... -341 kJ/mol of formula units
# Final energy ... -117.297 eV per cell

# Ba4AuN PBE relaxed
data_Ba4AuN
_cell_length_a 10.555
_cell_length_b 8.843
_cell_length_c 11.205
_cell_angle_alpha 90.00
_cell_angle_beta 90.00
_cell_angle_gamma 90.00
_space_group_name_H-M_alt 'C m c m'
_space_group_IT_number 63
_space_group_name_Hall '-C 2c 2'
loop_
_atom_site_label
_atom_site_type_symbol
_atom_site_fract_x
_atom_site_fract_y
_atom_site_fract_z
_atom_site_occupancy
Ba1 Ba 0.000 0.218 0.057 1
Ba2 Ba 0.192 0.462 0.750 1
Au1 Au 0.000 0.115 0.750 1
N1 N 0.000 0.367 0.250 1
# Relative energy among the computed polymorphs ... 0.000 eV per atom
# ΔE_f (raw) ... -429 meV per atom
# Final energy ... -87.481 eV per cell

# Ac2IrN PBE relaxed
data_Ac2IrN
_cell_length_a 4.0953
_cell_length_b 4.0953
_cell_length_c 20.4675
_cell_angle_alpha 90.00
_cell_angle_beta 90.00
_cell_angle_gamma 120.00
_space_group_name_H-M_alt 'R -3 m'
_space_group_IT_number 166
_space_group_name_Hall '-R 3 2"'
loop_
_atom_site_label
_atom_site_type_symbol
_atom_site_fract_x
_atom_site_fract_y
_atom_site_fract_z
_atom_site_occupancy
Ac1 Ac 0.0000 0.0000 0.2420 1
Ir1 Ir 0.0000 0.0000 0.0000 1
N1 N 0.0000 0.0000 0.5000 1
# Relative energy among the computed polymorphs ... 0.000 eV per atom
# ΔE_f (raw) ... -667 meV per atom
# Final energy ... -84.216 eV per cell

# CdSb6Pd12 PBE relaxed
data_CdSb6Pd12
_cell_length_a 11.4931
_cell_length_b 11.4931
_cell_length_c 9.7590
_cell_angle_alpha 90.00
_cell_angle_beta 90.00
_cell_angle_gamma 120.00
_space_group_name_H-M_alt 'R -3'
_space_group_IT_number 148
_space_group_name_Hall '-R 3'
loop_
_atom_site_label
_atom_site_type_symbol
_atom_site_fract_x
_atom_site_fract_y
_atom_site_fract_z
_atom_site_occupancy
Cd1 Cd 0.0000 0.0000 0.0000 1
Sb1 Sb 0.0510 0.1968 0.7093 1
Pd1 Pd 0.0317 0.2578 0.9659 1
Pd2 Pd 0.0767 0.2530 0.4370 1
# ΔE_f (raw) ... -316 meV per atom
# Final energy ... -281.902 eV per cell

# ZrZnW3 PBE relaxed
data_ZrZnW3
_cell_length_a 4.823
_cell_length_b 4.823
_cell_length_c 4.823
_cell_angle_alpha 90.00
_cell_angle_beta 90.00
_cell_angle_gamma 90.00
_space_group_name_H-M_alt 'P m -3 m'
_space_group_IT_number 221
_space_group_name_Hall '-P 4 2 3'
loop_
_atom_site_label
_atom_site_type_symbol
_atom_site_fract_x
_atom_site_fract_y
_atom_site_fract_z
_atom_site_occupancy
Zr1 Zr 0.000 0.000 0.000 1
Zn1 Zn 0.500 0.500 0.500 1
W1 W 0.000 0.000 0.500 1
# Relative energy among the computed polymorphs ... 1.019 eV per atom
# Formation energy ... 1242 kJ/mol of formula units
# Final energy ... -35.806 eV per cell

# Pm4Te2PdS PBE relaxed
data_Pm4Te2PdS
_cell_length_a 7.474
_cell_length_b 4.204
_cell_length_c 7.598
_cell_angle_alpha 90.00
_cell_angle_beta 108.97
_cell_angle_gamma 90.00
_space_group_name_H-M_alt 'P 1 2/m 1'
_space_group_IT_number 10
_space_group_name_Hall '-P 2y'
loop_
_atom_site_label
_atom_site_type_symbol
_atom_site_fract_x
_atom_site_fract_y
_atom_site_fract_z
_atom_site_occupancy
Pm1 Pm 0.231 0.000 0.220 1
Pm2 Pm 0.263 0.500 0.782 1
Te1 Te 0.000 0.000 0.500 1
Te2 Te 0.500 0.500 0.500 1
Pd1 Pd 0.500 0.000 0.000 1
S1 S 0.000 0.500 0.000 1
# ΔE_f (raw) ... -1385 meV per atom
# Final energy ... -45.684 eV per cell

# PrThMnN4 PBE relaxed
data_PrThMnN4
_cell_length_a 3.728
_cell_length_b 3.728
_cell_length_c 12.859
_cell_angle_alpha 90.00
_cell_angle_beta 90.00
_cell_angle_gamma 90.00
_space_group_name_H-M_alt 'I 4 m m'
_space_group_IT_number 107
_space_group_name_Hall 'I 4 -2'
loop_
_atom_site_label
_atom_site_type_symbol
_atom_site_fract_x
_atom_site_fract_y
_atom_site_fract_z
_atom_site_occupancy
Pr1 Pr 0.000 0.000 0.000 1
Th1 Th 0.000 0.000 0.711 1
Mn1 Mn 0.000 0.000 0.353 1
N1 N 0.000 0.000 0.189 1
N2 N 0.000 0.000 0.531 1
N3 N 0.000 0.500 0.352 1
# ΔE_f (raw) ... -976 meV per atom
# Final energy ... -123.006 eV per cell

# CeCd4Ag5 PBE relaxed
data_CeCd4Ag5
_cell_length_a 3.379
_cell_length_b 3.379
_cell_length_c 17.899
_cell_angle_alpha 90.00
_cell_angle_beta 90.00
_cell_angle_gamma 90.00
_space_group_name_H-M_alt 'P 4/m m m'
_space_group_IT_number 123
_space_group_name_Hall '-P 4 2'
loop_
_atom_site_label
_atom_site_type_symbol
_atom_site_fract_x
_atom_site_fract_y
_atom_site_fract_z
_atom_site_occupancy
Ce1 Ce 0.000 0.000 0.000 1
Cd1 Cd 0.000 0.000 0.214 1
Cd2 Cd 0.000 0.000 0.405 1
Ag1 Ag 0.500 0.500 0.121 1
Ag2 Ag 0.500 0.500 0.311 1
Ag3 Ag 0.500 0.500 0.500 1
# Formation energy ... -58 kJ/mol of formula units
# Final energy ... -24.450 eV per cell

# Sr2CeInS5 PBE relaxed
data_Sr2CeInS5
_cell_length_a 4.140
_cell_length_b 17.488
_cell_length_c 12.712
_cell_angle_alpha 90.00
_cell_angle_beta 90.00
_cell_angle_gamma 90.00
_space_group_name_H-M_alt 'C m c 21'
_space_group_IT_number 36
_space_group_name_Hall 'C 2c -2'
loop_
_atom_site_label
_atom_site_type_symbol
_atom_site_fract_x
_atom_site_fract_y
_atom_site_fract_z
_atom_site_occupancy
Sr1 Sr 0.000 0.113 0.000 1
Sr2 Sr 0.000 0.135 0.613 1
Ce1 Ce 0.000 0.212 0.320 1
In1 In 0.000 0.477 0.766 1
S1 S 0.000 0.050 0.372 1
S2 S 0.000 0.286 0.971 1
S3 S 0.000 0.316 0.674 1
S4 S 0.000 0.371 0.310 1
S5 S 0.000 0.493 0.079 1
# ΔE_f (raw) ... -1648 meV per atom
# Final energy ... -190.035 eV per cell

# Y2AlSnRh PBE relaxed
data_Y2AlSnRh
_cell_length_a 5.620
_cell_length_b 5.620
_cell_length_c 4.857
_cell_angle_alpha 90.00
_cell_angle_beta 90.00
_cell_angle_gamma 90.00
_space_group_name_H-M_alt 'P 4/m m m'
_space_group_IT_number 123
_space_group_name_Hall '-P 4 2'
loop_
_atom_site_label
_atom_site_type_symbol
_atom_site_fract_x
_atom_site_fract_y
_atom_site_fract_z
_atom_site_occupancy
Y1 Y 0.000 0.500 0.000 1
Al1 Al 0.000 0.000 0.500 1
Sn1 Sn 0.500 0.500 0.000 1
Rh1 Rh 0.500 0.500 0.500 1
# Formation energy ... 183 kJ/mol of formula units
# Final energy ... -26.126 eV per cell

# RuNCl2 PBE relaxed
data_RuNCl2
_cell_length_a 9.058
_cell_length_b 9.058
_cell_length_c 3.692
_cell_angle_alpha 90.00
_cell_angle_beta 90.00
_cell_angle_gamma 90.00
_space_group_name_H-M_alt 'I -4 2 d'
_space_group_IT_number 122
_space_group_name_Hall 'I -4 2bw'
loop_
_atom_site_label
_atom_site_type_symbol
_atom_site_fract_x
_atom_site_fract_y
_atom_site_fract_z
_atom_site_occupancy
Ru1 Ru 0.000 0.000 0.000 1
N1 N 0.000 0.000 0.500 1
Cl1 Cl 0.094 0.250 0.125 1
# Relative energy among the computed polymorphs ... 0.000 eV per atom
# ΔE_f (raw) ... 149 meV per atom
# Final energy ... -82.786 eV per cell

# TeAs2Rh PBE relaxed
data_TeAs2Rh
_cell_length_a 3.396
_cell_length_b 3.396
_cell_length_c 7.203
_cell_angle_alpha 90.00
_cell_angle_beta 90.00
_cell_angle_gamma 90.00
_space_group_name_H-M_alt 'P 4 m m'
_space_group_IT_number 99
_space_group_name_Hall 'P 4 -2'
loop_
_atom_site_label
_atom_site_type_symbol
_atom_site_fract_x
_atom_site_fract_y
_atom_site_fract_z
_atom_site_occupancy
Te1 Te 0.000 0.000 0.000 1
As1 As 0.000 0.000 0.581 1
As2 As 0.500 0.500 0.410 1
Rh1 Rh 0.500 0.500 0.804 1
# ΔE_f (raw) ... 77 meV per atom
# Final energy ... -19.485 eV per cell

# Nb5SnGe PBE relaxed
data_Nb5SnGe
_cell_length_a 6.881
_cell_length_b 8.175
_cell_length_c 9.898
_cell_angle_alpha 90.00
_cell_angle_beta 106.42
_cell_angle_gamma 90.00
_space_group_name_H-M_alt 'C 1 2/c 1'
_space_group_IT_number 15
_space_group_name_Hall '-C 2yc'
loop_
_atom_site_label
_atom_site_type_symbol
_atom_site_fract_x
_atom_site_fract_y
_atom_site_fract_z
_atom_site_occupancy
Nb1 Nb 0.000 0.124 0.250 1
Nb2 Nb 0.100 0.445 0.150 1
Nb3 Nb 0.189 0.089 0.043 1
Sn1 Sn 0.000 0.228 0.750 1
Ge1 Ge 0.250 0.250 0.500 1
# Formation energy ... 19 kJ/mol of formula units
# Final energy ... -235.080 eV per cell

# AcMgGe2Rh PBE relaxed
data_AcMgGe2Rh
_cell_length_a 4.334
_cell_length_b 4.334
_cell_length_c 11.281
_cell_angle_alpha 90.00
_cell_angle_beta 90.00
_cell_angle_gamma 90.00
_space_group_name_H-M_alt 'I -4 m 2'
_space_group_IT_number 119
_space_group_name_Hall 'I -4 -2'
loop_
_atom_site_label
_atom_site_type_symbol
_atom_site_fract_x
_atom_site_fract_y
_atom_site_fract_z
_atom_site_occupancy
Ac1 Ac 0.000 0.000 0.000 1
Mg1 Mg 0.000 0.500 0.750 1
Ge1 Ge 0.000 0.000 0.382 1
Rh1 Rh 0.000 0.500 0.250 1
# Formation energy ... -323 kJ/mol of formula units
# Final energy ... -51.264 eV per cell

# Ac2La7Nd PBE relaxed
data_Ac2La7Nd
_cell_length_a 12.584
_cell_length_b 17.792
_cell_length_c 3.644
_cell_angle_alpha 90.00
_cell_angle_beta 90.00
_cell_angle_gamma 90.00
_space_group_name_H-M_alt 'C m m m'
_space_group_IT_number 65
_space_group_name_Hall '-C 2 2'
loop_
_atom_site_label
_atom_site_type_symbol
_atom_site_fract_x
_atom_site_fract_y
_atom_site_fract_z
_atom_site_occupancy
Ac1 Ac 0.000 0.174 0.000 1
La1 La 0.000 0.335 0.500 1
La2 La 0.000 0.500 0.000 1
La3 La 0.239 0.376 0.000 1
Nd1 Nd 0.000 0.000 0.500 1
# Relative energy among the computed polymorphs ... 0.240 eV per atom
# Formation energy ... 354 kJ/mol of formula units
# Final energy ... -87.621 eV per cell

# NaUGe2O8 PBE relaxed
data_NaUGe2O8
_cell_length_a 7.053
_cell_length_b 7.053
_cell_length_c 6.398
_cell_angle_alpha 90.00
_cell_angle_beta 90.00
_cell_angle_gamma 90.00
_space_group_name_H-M_alt 'I -4 m 2'
_space_group_IT_number 119
_space_group_name_Hall 'I -4 -2'
loop_
_atom_site_label
_atom_site_type_symbol
_atom_site_fract_x
_atom_site_fract_y
_atom_site_fract_z
_atom_site_occupancy
Na1 Na 0.000 0.000 0.000 1
U1 U 0.000 0.500 0.750 1
Ge1 Ge 0.000 0.000 0.500 1
Ge2 Ge 0.000 0.500 0.250 1
O1 O 0.000 0.205 0.662 1
O2 O 0.000 0.319 0.057 1
# ΔE_f (raw) ... -1854 meV per atom
# Final energy ... -167.516 eV per cell

# Li2TeRh PBE relaxed
data_Li2TeRh
_cell_length_a 3.931
_cell_length_b 3.931
_cell_length_c 4.179
_cell_angle_alpha 90.00
_cell_angle_beta 90.00
_cell_angle_gamma 90.00
_space_group_name_H-M_alt 'P 4/m m m'
_space_group_IT_number 123
_space_group_name_Hall '-P 4 2'
loop_
_atom_site_label
_atom_site_type_symbol
_atom_site_fract_x
_atom_site_fract_y
_atom_site_fract_z
_atom_site_occupancy
Li1 Li 0.000 0.500 0.000 1
Te1 Te 0.000 0.000 0.500 1
Rh1 Rh 0.500 0.500 0.500 1
# ΔE_f (raw) ... -495 meV per atom
# Final energy ... -16.301 eV per cell

# BeAl2W PBE relaxed
data_BeAl2W
_cell_length_a 9.156
_cell_length_b 2.684
_cell_length_c 4.678
_cell_angle_alpha 90.00
_cell_angle_beta 96.56
_cell_angle_gamma 90.00
_space_group_name_H-M_alt 'C 1 2/m 1'
_space_group_IT_number 12
_space_group_name_Hall '-C 2y'
loop_
_atom_site_label
_atom_site_type_symbol
_atom_site_fract_x
_atom_site_fract_y
_atom_site_fract_z
_atom_site_occupancy
Be1 Be 0.000 0.000 0.000 1
Al1 Al 0.245 0.000 0.751 1
W1 W 0.000 0.500 0.500 1
# Formation energy ... 49 kJ/mol of formula units
# Final energy ... -47.303 eV per cell